The following is a PBE calculation of crystalline SrLaSiAg at its relaxed geometry, from Alexandria via LeMat-Bulk.

Lattice parameters (Å, degrees): 5.3753 5.3753 5.3753 60.00 60.00 60.00
Last column: nearest neighbours and their distance in Å.
Sites, in units of the cell vectors:
Sr  0.0000  0.0000  0.0000  4 Si 3.29, 4 Ag 3.29
La  0.5000  0.5000  0.5000  4 Si 3.29, 4 Ag 3.29
Si  0.7500  0.7500  0.7500  4 La 3.29, 4 Sr 3.29
Ag  0.2500  0.2500  0.2500  4 La 3.29, 4 Sr 3.29

Properties
Uncorrected energy (Ry/atom): -0.3011
Space-group type: F-43m, No. 216
Energy relative to the elements, uncorrected (eV per atom): -0.376